Below is a relaxed structure of DyY4Tm7, with properties calculated at the PBE-GGA level.

The structure belongs to space group P-1 (No. 2); the cell edges are 6.724, 6.919 and 8.617 Å and the angles 79.07°, 76.55° and 75.97°. The distinct sites, in fractional coordinates, are Dy at (0.000, 0.000, 0.000), Y at (0.187, 0.609, 0.333), Y at (0.348, 0.231, 0.680), Tm at (0.000, 0.500, 0.000), Tm at (0.178, 0.108, 0.367), Tm at (0.319, 0.737, 0.676) and Tm at (0.478, 0.248, 0.026).

For the density of states at the Fermi level, the calculation gives 21.02 states/eV per cell. As for the formation energy: 0.09 eV/atom. The final energy is -60.728 eV for the cell shown.